(1)
{"formula": "Fe3Os", "functional": "PBE", "state": "optimized geometry", "cell": [[4.6169, 0.0000, 0.0000], [0.0000, 4.6169, 0.0000], [0.0000, 0.0000, 4.6169]], "species": ["Fe", "Fe", "Fe", "Os"], "frac_coords": [[0.0000, 0.0000, 0.5000], [0.0000, 0.5000, 0.0000], [0.5000, 0.0000, 0.0000], [0.0000, 0.0000, 0.0000]], "energy_ev_per_atom": -7.1366, "ef_kj_per_mol_atoms": 195, "sg": "Pm-3m, No. 221", "magmom_total_mub_per_fu": 7.83}

=====

(2)
{"formula": "Fe2Os", "functional": "PBE", "state": "optimized geometry", "cell": [[0.0000, 3.2910, 3.2910], [3.2910, 0.0000, 3.2910], [3.2910, 3.2910, 0.0000]], "species": ["Fe", "Fe", "Fe", "Fe", "Os", "Os"], "frac_coords": [[0.0000, 0.0000, 0.0000], [0.0000, 0.0000, 0.5000], [0.0000, 0.5000, 0.0000], [0.5000, 0.0000, 0.0000], [0.3750, 0.3750, 0.3750], [0.6250, 0.6250, 0.6250]], "energy_ev_per_atom": -9.2649, "ef_kj_per_mol_atoms": 12, "sg": "Fd-3m, No. 227", "magmom_total_mub_per_fu": 2.91}

=====

(3)
{"formula": "FeOs2", "functional": "PBE", "state": "optimized geometry", "cell": [[0.0000, 3.6010, 3.6010], [3.6010, 0.0000, 3.6010], [3.6010, 3.6010, 0.0000]], "species": ["Fe", "Fe", "Os", "Os", "Os", "Os"], "frac_coords": [[0.1250, 0.1250, 0.1250], [0.8750, 0.8750, 0.8750], [0.0000, 0.5000, 0.5000], [0.5000, 0.0000, 0.5000], [0.5000, 0.5000, 0.0000], [0.5000, 0.5000, 0.5000]], "e_above_lowest_polymorph_mev_per_atom": 750.7, "energy_ev_per_atom": -9.5257, "ef_kj_per_mol_atoms": 75, "sg": "Fd-3m, No. 227", "magmom_total_mub_per_fu": 3.24}

=====

(4)
{"formula": "Fe2Os", "functional": "PBE", "state": "optimized geometry", "cell": [[5.6003, 0.0000, 0.0000], [0.0000, 5.6003, 0.0000], [0.0000, 0.0000, 5.6003]], "species": ["Fe", "Fe", "Fe", "Fe", "Fe", "Fe", "Fe", "Fe", "Os", "Os", "Os", "Os"], "frac_coords": [[0.1117, 0.1117, 0.1117], [0.1117, 0.3883, 0.6117], [0.3883, 0.6117, 0.1117], [0.3883, 0.8883, 0.6117], [0.6117, 0.1117, 0.3883], [0.6117, 0.3883, 0.8883], [0.8883, 0.6117, 0.3883], [0.8883, 0.8883, 0.8883], [0.0000, 0.0000, 0.5000], [0.0000, 0.5000, 0.0000], [0.5000, 0.0000, 0.0000], [0.5000, 0.5000, 0.5000]], "energy_ev_per_atom": -8.2086, "ef_kj_per_mol_atoms": 114, "sg": "Pa-3, No. 205", "magmom_total_mub_per_fu": 1.06}